Record 1
Sc3Mo (PBEsol, optimized geometry); SG = Pmmn (59); VASP energy = -7.78 eV/atom; energy of formation from the pure elements = 11 kJ/mol of atoms; density of states at the Fermi level = 6.07 states/eV per cell
1.0
-4.033 -1.282 2.278
2.842 -1.099 4.413
-0.758 5.828 1.939
Mo Sc
2 6
direct
0.000 0.692 0.000
0.500 0.308 0.500
0.500 0.346 0.000
0.000 0.173 0.747
0.500 0.827 0.753
0.000 0.654 0.500
0.000 0.173 0.253
0.500 0.827 0.247


Record 2
Sc5Mo (PBEsol, optimized geometry); SG = P4/mmm (123); VASP energy = -7.35 eV/atom; energy of formation from the pure elements = 11 kJ/mol of atoms; density of states at the Fermi level = 8.13 states/eV per cell
1.0
-1.587 2.810 -0.579
-2.868 -1.531 0.429
0.359 2.633 11.796
Sc Mo
5 1
direct
0.000 0.000 0.629
0.500 0.500 0.822
0.000 0.000 0.000
0.500 0.500 0.178
0.000 0.000 0.371
0.500 0.500 0.500


Record 3
ScMo2 (PBEsol, optimized geometry); SG = P-3m1 (164); VASP energy = -9.97 eV/atom; energy of formation from the pure elements = 8 kJ/mol of atoms; density of states at the Fermi level = 2.48 states/eV per cell
1.0
-2.013 -1.637 -1.019
2.238 -3.661 1.460
-3.021 2.035 2.697
Sc Mo
1 2
direct
0.500 0.000 0.000
0.130 0.333 0.667
0.870 0.667 0.333


Record 4
Sc8Mo (PBEsol, optimized geometry); SG = I4/mmm (139); VASP energy = -7.08 eV/atom; energy of formation from the pure elements = 10 kJ/mol of atoms; density of states at the Fermi level = 11.99 states/eV per cell
1.0
-1.406 -2.786 3.285
5.232 -1.064 4.461
-2.674 3.785 5.190
Mo Sc
1 8
direct
0.000 0.000 0.000
0.657 0.686 0.000
0.343 0.314 0.000
0.000 0.679 0.321
0.343 0.000 0.314
0.679 0.321 0.321
0.657 0.000 0.686
0.000 0.321 0.679
0.321 0.679 0.679